# La2CuAu

Crystalline La2CuAu at its relaxed geometry (GGA-PBEsol, the Alexandria database).

The value obtained for the formation energy is -446.7 meV per atom. Its density of states at the Fermi level is 0.91 states/eV per atom. For the total energy, the calculation gives -5.184 eV per atom.

The structure in POSCAR format:
```
La2CuAu
1.0
3.9449 0.0000 0.0000
0.0000 4.6166 0.0000
-1.9724 0.0000 5.5561
Au Cu La
1 1 2
Direct
0.8266 0.0000 0.6533
0.6799 0.5000 0.3598
0.1145 0.0000 0.2289
0.3929 0.5000 0.7859
```